An optimized crystal structure of RbCeS3, computed with PBE.

energy relative to the lowest polymorph listed for this composition = 0.000 eV per formula unit
E_form (uncorrected) = -1.4156 eV per atom

Unit cell a=13.169 b=13.169 c=7.153 alpha=99.03 beta=99.03 gamma=18.16
Fractional positions:
Rb 0.091 0.091 0.140
Rb 0.909 0.909 0.860
Ce 0.257 0.257 0.256
Ce 0.743 0.743 0.744
S 0.193 0.193 0.534
S 0.302 0.302 0.931
S 0.490 0.490 0.132
S 0.510 0.510 0.868
S 0.698 0.698 0.069
S 0.807 0.807 0.466



An optimized crystal structure of SmSc2Nb, computed with PBE.

energy relative to the lowest polymorph listed for this composition = 0.000 eV per formula unit
DFT formation energy = 157 meV/atom

Unit cell a=3.708 b=3.708 c=7.060 alpha=90.00 beta=90.00 gamma=90.00
Fractional positions:
Sm 0.000 0.000 0.000
Sc 0.500 0.500 0.295
Sc 0.500 0.500 0.705
Nb 0.000 0.000 0.500



An optimized crystal structure of In2Ge2Bi, computed with PBE.

energy relative to the lowest polymorph listed for this composition = 0.315 eV per formula unit
DFT formation energy = 235 meV/atom

Unit cell a=7.530 b=7.530 c=7.530 alpha=146.37 beta=146.37 gamma=48.30
Fractional positions:
In 0.250 0.750 0.500
In 0.750 0.250 0.500
Ge 0.095 0.095 0.000
Ge 0.905 0.905 0.000
Bi 0.500 0.500 0.000



An optimized crystal structure of Nd7SmIn2, computed with PBE.

DFT formation energy = 312 meV/atom

Unit cell a=9.250 b=9.250 c=5.498 alpha=90.00 beta=90.00 gamma=119.18
Fractional positions:
Nd 0.000 0.000 0.000
Nd 0.197 0.440 0.000
Nd 0.275 0.725 0.500
Nd 0.440 0.197 0.000
Nd 0.560 0.803 0.000
Nd 0.725 0.275 0.500
Nd 0.803 0.560 0.000
Sm 0.500 0.500 0.500
In 0.196 0.804 0.000
In 0.804 0.196 0.000



An optimized crystal structure of RuSN2Cl, computed with PBE.

energy relative to the lowest polymorph listed for this composition = 7.825 eV per formula unit
E_form (uncorrected) = 2.4850 eV per atom

Unit cell a=3.717 b=3.717 c=4.471 alpha=90.00 beta=90.00 gamma=90.00
Fractional positions:
Ru 0.000 0.000 0.000
S 0.500 0.500 0.000
N 0.000 0.500 0.500
N 0.500 0.000 0.500
Cl 0.500 0.500 0.500



An optimized crystal structure of CaEu2Ir, computed with PBE.

energy relative to the lowest polymorph listed for this composition = 0.561 eV per formula unit
DFT formation energy = -46 meV/atom

Unit cell a=10.992 b=10.992 c=10.992 alpha=21.17 beta=21.17 gamma=21.17
Fractional positions:
Ca 0.000 0.000 0.000
Eu 0.116 0.116 0.116
Eu 0.884 0.884 0.884
Ir 0.500 0.500 0.500